A geometry-optimized Li2GaPbO structure. Source: Alexandria, functional GGA-PBE.

Summary:
**Density of states at the Fermi level**: 2.27 states/eV/cell
**Formation energy (no corrections)**: 0.40 eV per atom

Cell: 4.762 4.762 5.455 Å, 90.00 90.00 90.00°
Atoms (fractional coordinates):
Li1 0.000 0.500 0.000
Li2 0.500 0.000 0.000
Ga1 0.000 0.000 0.000
Pb1 0.000 0.000 0.500
O1 0.500 0.500 0.500



A geometry-optimized TmPu2Ga3Pt4 structure. Source: Alexandria, functional GGA-PBE.

Summary:
**Energy of formation from the pure elements**: -8.00 eV/f.u.
**Density of states at the Fermi level**: 26.19 states/eV/cell

Cell: 4.166 4.166 11.592 Å, 90.00 90.00 90.00°
Atoms (fractional coordinates):
Tm1 0.000 0.000 0.000
Pu1 0.000 0.500 0.736
Pu2 0.500 0.000 0.264
Ga1 0.000 0.500 0.373
Ga2 0.500 0.000 0.627
Ga3 0.500 0.500 0.000
Pt1 0.000 0.000 0.500
Pt2 0.000 0.500 0.157
Pt3 0.500 0.000 0.843
Pt4 0.500 0.500 0.500



A geometry-optimized CsBr2N structure. Source: Alexandria, functional GGA-PBE.

Summary:
**Formation energy (no corrections)**: -0.01 eV per atom

Cell: 6.756 8.828 10.818 Å, 90.00 91.12 90.00°
Atoms (fractional coordinates):
Cs1 0.239 0.084 0.334
Cs2 0.239 0.416 0.834
Cs3 0.761 0.584 0.166
Cs4 0.761 0.916 0.666
Br1 0.248 0.599 0.433
Br2 0.248 0.901 0.933
Br3 0.263 0.066 0.666
Br4 0.263 0.434 0.166
Br5 0.737 0.566 0.834
Br6 0.737 0.934 0.334
Br7 0.752 0.099 0.067
Br8 0.752 0.401 0.567
N1 0.227 0.664 0.589
N2 0.227 0.836 0.089
N3 0.773 0.164 0.911
N4 0.773 0.336 0.411



A geometry-optimized YMn2Cd structure. Source: Alexandria, functional GGA-PBE.

Summary:
**Energy of formation from the pure elements**: 1.08 eV/f.u.
**Density of states at the Fermi level**: 4.24 states/eV/cell

Cell: 3.330 3.454 6.975 Å, 90.00 90.07 90.00°
Atoms (fractional coordinates):
Y1 0.000 0.000 0.000
Mn1 0.500 0.500 0.278
Mn2 0.500 0.500 0.722
Cd1 0.000 0.000 0.500



| no. | density (Mg/m³) |
| --- | --- |
| 1 | 4.119 |
| 2 | 13.592 |
| 3 | 3.158 |
| 4 | 6.441 |